Entry 1:
## Na10B13C7 (PBE-GGA)

Data for a relaxed Na10B13C7 crystal.

Results
Spin magnetization (μB per formula unit): 0.00
DFT formation energy (eV/atom): 0.107
Total energy (hartree per atom): -0.198
Theoretical density (g/cm³): 2.5

abc: 7.625 7.625 8.537
angles: 90.00 90.00 142.10
Atoms (fractional coordinates):
Na: 0.197 0.797 0.003
Na: 0.197 0.797 0.497
Na: 0.401 0.601 0.004
Na: 0.401 0.601 0.496
Na: 0.001 0.001 0.004
Na: 0.001 0.001 0.496
Na: 0.599 0.399 0.003
Na: 0.599 0.399 0.497
Na: 0.799 0.199 0.003
Na: 0.799 0.199 0.497
B: 0.132 0.531 0.750
B: 0.133 0.534 0.250
B: 0.488 0.870 0.750
B: 0.334 0.333 0.250
B: 0.657 0.669 0.750
B: 0.931 0.732 0.750
B: 0.934 0.733 0.250
B: 0.270 0.088 0.750
B: 0.514 0.114 0.750
B: 0.534 0.134 0.250
B: 0.865 0.465 0.750
B: 0.733 0.934 0.250
B: 0.069 0.257 0.750
C: 0.467 0.867 0.250
C: 0.338 0.342 0.750
C: 0.667 0.667 0.250
C: 0.267 0.067 0.250
C: 0.867 0.467 0.250
C: 0.742 0.938 0.750
C: 0.067 0.267 0.250

***

Entry 2:
## KTcO3 (PBE-GGA)

Data for a relaxed KTcO3 crystal.

Results
Spin magnetization (μB per formula unit): 0.00
Uncorrected formation energy (eV per atom): -1.541
Total energy (hartree per atom): -0.250
Theoretical density (g/cm³): 4.0

abc: 12.918 7.823 7.823
angles: 96.93 133.51 46.49
Atoms (fractional coordinates):
K: 0.177 0.416 0.366
K: 0.323 0.866 0.916
K: 0.823 0.584 0.634
K: 0.677 0.134 0.084
Tc: 0.750 0.207 0.707
Tc: 0.250 0.793 0.293
Tc: 0.750 0.484 0.984
Tc: 0.250 0.516 0.016
O: 0.452 0.359 0.481
O: 0.048 0.981 0.859
O: 0.548 0.641 0.519
O: 0.952 0.019 0.141
O: 0.049 0.219 0.155
O: 0.451 0.655 0.719
O: 0.951 0.781 0.845
O: 0.549 0.345 0.281
O: 0.657 0.802 0.902
O: 0.843 0.402 0.302
O: 0.343 0.198 0.098
O: 0.157 0.598 0.698

***

Entry 3:
## Si2AgAs (PBE-GGA)

Data for a relaxed Si2AgAs crystal.

Results
Spin magnetization (μB per formula unit): 0.00
Uncorrected formation energy (eV per atom): 0.460
Total energy (hartree per atom): -0.152
Theoretical density (g/cm³): 5.7

abc: 2.783 4.863 5.121
angles: 90.00 90.00 90.00
Atoms (fractional coordinates):
Ag: 0.500 0.000 0.500
As: 0.000 0.500 0.500
Si: 0.000 0.000 0.000
Si: 0.500 0.500 0.000

***

Entry 4:
## MgMnZn6 (PBE-GGA)

Data for a relaxed MgMnZn6 crystal.

Results
Spin magnetization (μB per formula unit): 3.03
DFT formation energy (eV/atom): 0.018
Total energy (hartree per atom): -0.084
Theoretical density (g/cm³): 6.4

abc: 4.115 8.357 5.480
angles: 139.68 90.00 90.00
Atoms (fractional coordinates):
Mg: 0.000 0.896 0.792
Mn: 0.500 0.606 0.212
Zn: 0.000 0.845 0.243
Zn: 0.000 0.398 0.243
Zn: 0.000 0.358 0.717
Zn: 0.500 0.634 0.748
Zn: 0.500 0.113 0.748
Zn: 0.500 0.149 0.297

***

Entry 5:
## ReWSe2 (PBE-GGA)

Data for a relaxed ReWSe2 crystal.

Results
Spin magnetization (μB per formula unit): 0.00
Uncorrected formation energy (eV per atom): 0.371
Total energy (hartree per atom): -0.284
Theoretical density (g/cm³): 9.8

abc: 4.773 4.773 6.220
angles: 82.12 82.12 39.59
Atoms (fractional coordinates):
Re: 0.221 0.221 0.327
Se: 0.992 0.992 0.111
Se: 0.783 0.783 0.635
W: 0.504 0.504 0.428

***

Entry 6:
## Pr2Er4Sc (PBE-GGA)

Data for a relaxed Pr2Er4Sc crystal.

Results
Spin magnetization (μB per formula unit): 0.00
DFT formation energy (eV/atom): 0.187
Total energy (hartree per atom): -0.172
Theoretical density (g/cm³): 7.5

abc: 8.807 8.812 8.812
angles: 135.60 98.16 98.26
Atoms (fractional coordinates):
Pr: 0.597 0.489 0.891
Pr: 0.653 0.045 0.392
Pr: 0.625 0.383 0.258
Pr: 0.125 0.385 0.760
Er: 0.882 0.058 0.177
Er: 0.367 0.595 0.229
Er: 0.884 0.613 0.728
Er: 0.787 0.055 0.778
Er: 0.278 0.056 0.268
Er: 0.368 0.045 0.676
Er: 0.462 0.741 0.768
Er: 0.972 0.741 0.279
Sc: 0.103 0.501 0.397
Sc: 0.147 0.044 0.897

***

Entry 7:
## ZnGe2Pt2 (PBE-GGA)

Data for a relaxed ZnGe2Pt2 crystal.

Results
Spin magnetization (μB per formula unit): 0.00
DFT formation energy (eV/atom): -0.359
Total energy (hartree per atom): -0.179
Theoretical density (g/cm³): 11.5

abc: 4.320 4.320 5.357
angles: 89.85 89.85 60.31
Atoms (fractional coordinates):
Zn: 0.500 0.000 0.000
Ge: 0.831 0.331 0.672
Ge: 0.169 0.669 0.328
Pt: 0.835 0.335 0.191
Pt: 0.165 0.665 0.809

***

Entry 8:
## LiRh2C (PBE-GGA)

Data for a relaxed LiRh2C crystal.

Results
Spin magnetization (μB per formula unit): 0.00
DFT formation energy (eV/atom): 0.164
Total energy (hartree per atom): -0.231
Theoretical density (g/cm³): 7.1

abc: 3.005 3.005 6.933
angles: 77.48 77.48 60.00
Atoms (fractional coordinates):
Li: 0.501 0.501 0.498
Rh: 0.056 0.056 0.831
Rh: 0.277 0.277 0.170
C: 0.666 0.666 0.002

***

Entry 9:
## PaHS (PBE-GGA)

Data for a relaxed PaHS crystal.

Results
Spin magnetization (μB per formula unit): 1.09
Total energy (hartree per atom): -0.236
Theoretical density (g/cm³): 9.1

abc: 3.569 3.569 4.562
angles: 113.03 113.03 90.00
Atoms (fractional coordinates):
H: 0.996 0.996 0.993
S: 0.325 0.325 0.649
Pa: 0.679 0.679 0.358

***

Entry 10:
## KAs4Br (PBE-GGA)

Data for a relaxed KAs4Br crystal.

Results
Spin magnetization (μB per formula unit): 0.00
Uncorrected formation energy (eV per atom): -0.343
Total energy (hartree per atom): -0.143
Theoretical density (g/cm³): 3.6

abc: 6.483 6.483 6.483
angles: 60.00 60.00 60.00
Atoms (fractional coordinates):
K: 0.000 0.000 0.000
As: 0.784 0.405 0.405
As: 0.405 0.405 0.784
As: 0.405 0.784 0.405
As: 0.405 0.405 0.405
Br: 0.750 0.750 0.750

***

Entry 11:
## MnCrFe2 (PBE-GGA)

Data for a relaxed MnCrFe2 crystal.

Results
Spin magnetization (μB per formula unit): 5.21
DFT formation energy (eV/atom): 0.103
Total energy (hartree per atom): -0.324
Theoretical density (g/cm³): 8.0

abc: 2.427 2.427 8.068
angles: 90.00 90.00 107.98
Atoms (fractional coordinates):
Cr: 0.500 0.500 0.750
Fe: 0.000 0.000 0.000
Fe: 0.000 0.000 0.500
Mn: 0.500 0.500 0.250

***

Entry 12:
## AsBr2O (PBE-GGA)

Data for a relaxed AsBr2O crystal.

Results
Spin magnetization (μB per formula unit): 0.00
Uncorrected formation energy (eV per atom): 0.453
Total energy (hartree per atom): -0.102
Theoretical density (g/cm³): 4.5

abc: 8.035 8.035 8.035
angles: 26.86 26.86 26.86
Atoms (fractional coordinates):
As: 0.500 0.500 0.500
O: 0.000 0.000 0.000
Br: 0.914 0.914 0.914
Br: 0.086 0.086 0.086